MoS2: PBEsol geometry, meta-GGA SCAN.

abc: 3.137 3.137 19.473
angles: 90.00 90.00 120.00
Atoms (fractional coordinates):
S (0.667, 0.333, 0.899)
S (0.667, 0.333, 0.261)
Mo (0.333, 0.667, 0.181)
Mo (0.333, 0.667, 0.819)
S (0.333, 0.667, 0.580)
S (0.667, 0.333, 0.101)
S (0.667, 0.333, 0.739)
S (0.333, 0.667, 0.420)
Mo (0.667, 0.333, 0.500)

Values from the calculation:
- E (eV per cell) = -170.8
- SG = P-6m2 (187)

MgZr2Te: PBEsol geometry, meta-GGA SCAN.

abc: 3.601 3.601 6.649
angles: 90.00 90.00 90.00
Atoms (fractional coordinates):
Zr (0.000, 0.000, 0.238)
Mg (0.500, 0.500, 0.500)
Te (0.500, 0.500, 0.000)
Zr (0.000, 0.000, 0.762)

Values from the calculation:
- energy above the most stable polymorph in this dataset (eV/f.u.) = 0.00
- E (eV per cell) = -105.0
- SG = P4/mmm (123)

TiPtSe2: PBEsol geometry, meta-GGA SCAN.

abc: 4.520 4.520 4.520
angles: 60.00 60.00 60.00
Atoms (fractional coordinates):
Se (0.750, 0.750, 0.750)
Se (0.250, 0.250, 0.250)
Pt (0.500, 0.500, 0.500)
Ti (0.000, 0.000, 0.000)

Values from the calculation:
- energy above the most stable polymorph in this dataset (eV/f.u.) = 0.00
- E (eV per cell) = -127.4
- SG = Fm-3m (225)

CaSi2Se2: PBEsol geometry, meta-GGA SCAN.

abc: 3.537 3.537 8.449
angles: 102.08 102.08 90.00
Atoms (fractional coordinates):
Ca (0.000, 0.000, 0.000)
Se (0.605, 0.605, 0.210)
Si (0.750, 0.250, 0.500)
Si (0.250, 0.750, 0.500)
Se (0.395, 0.395, 0.790)

Values from the calculation:
- E (eV per cell) = -72.1
- SG = I4/mmm (139)

KAlCl: PBEsol geometry, meta-GGA SCAN.

abc: 3.627 3.627 6.992
angles: 90.00 90.00 120.00
Atoms (fractional coordinates):
Cl (0.333, 0.667, 0.670)
K (0.667, 0.333, 0.366)
Al (0.000, 0.000, 0.964)

Values from the calculation:
- energy above the most stable polymorph in this dataset (eV/f.u.) = 0.08
- E (eV per cell) = -25.5
- SG = P3m1 (156)

TlFeIO2: PBEsol geometry, meta-GGA SCAN.

abc: 3.985 3.985 6.348
angles: 90.00 90.00 90.00
Last column: magnetic moment on the atom in μB.
Atoms (fractional coordinates):
I (0.000, 0.000, 0.000)  0.02
Tl (0.000, 0.000, 0.500)  -0.07
O (0.500, 0.000, 0.000)  0.01
Fe (0.500, 0.500, 0.500)  3.35
O (0.000, 0.500, 0.000)  0.01

Values from the calculation:
- E (eV per cell) = -137.3
- SG = P4/mmm (123)

Number 1: uncorrected formation energy -2.80 eV per formula unit. Number 2: uncorrected formation energy -1.39 eV per formula unit. Number 3: uncorrected formation energy -1.05 eV per formula unit. Number 4: uncorrected formation energy -2.21 eV per formula unit. Number 5: uncorrected formation energy -1.44 eV per formula unit. Number 6: uncorrected formation energy 2.34 eV per formula unit.